DFT (GGA-PBE) results for a relaxed structure of Hf2SbPd.

POSCAR file:
```
Hf2SbPd
1.0
4.3070 0.0000 0.0000
0.0000 4.2873 0.0000
0.0000 0.0000 4.2873
Sb Hf Pd
1 2 1
Direct
0.5000 0.5000 0.5000
0.0000 0.0000 0.5000
0.0000 0.5000 0.0000
0.5000 0.0000 0.0000
```

Properties
The calculation puts the total energy at -7.770 eV/atom. The energy relative to the elements, uncorrected comes out at -0.464 eV/atom.


DFT (GGA-PBE) results for a relaxed structure of Hf3Sb4Pd3.

POSCAR file:
```
Hf3Sb4Pd3
1.0
7.6861 0.0000 -2.7174
-3.8430 6.6563 -2.7174
0.0000 0.0000 8.1523
Hf Sb Pd
6 8 6
Direct
0.6250 0.7500 0.8750
0.8750 0.2500 0.6250
0.1250 0.3750 0.2500
0.3750 0.1250 0.7500
0.2500 0.8750 0.1250
0.7500 0.6250 0.3750
0.0000 0.0000 0.3164
0.5000 0.3164 0.5000
0.6836 0.1836 0.1836
0.0000 0.0000 0.8164
0.8164 0.5000 0.0000
0.5000 0.8164 0.5000
0.3164 0.5000 0.0000
0.1836 0.6836 0.6836
0.1250 0.7500 0.3750
0.3750 0.2500 0.1250
0.6250 0.8750 0.2500
0.8750 0.6250 0.7500
0.2500 0.3750 0.6250
0.7500 0.1250 0.8750
```

Properties
The calculation puts the total energy at -6.788 eV/atom. The energy relative to the elements, uncorrected comes out at -0.595 eV/atom.


DFT (GGA-PBE) results for a relaxed structure of HfSbPd2.

POSCAR file:
```
HfSbPd2
1.0
-1.6492 -2.8011 -2.6485
3.6220 -0.1873 -2.0574
1.2561 -3.0971 2.4934
Sb Hf Pd
1 1 2
Direct
0.5000 0.5000 0.5000
0.5000 0.0000 0.0000
0.0000 0.0000 0.5000
0.0000 0.5000 0.0000
```

Properties
The calculation puts the total energy at -6.686 eV/atom. The energy relative to the elements, uncorrected comes out at -0.571 eV/atom.


DFT (GGA-PBE) results for a relaxed structure of Hf2SbPd.

POSCAR file:
```
Hf2SbPd
1.0
-1.3487 3.7815 6.4797
-4.8444 -5.4660 2.1816
-0.8551 -2.3025 5.6494
Sb Hf Pd
2 4 2
Direct
0.0000 0.0000 0.0000
0.7500 0.2500 0.5000
0.5980 0.1250 0.2500
0.1520 0.6250 0.2500
0.3750 0.4020 0.7500
0.8750 0.8480 0.7500
0.5000 0.5000 0.0000
0.2500 0.7500 0.5000
```

Properties
The calculation puts the total energy at -7.572 eV/atom. The energy relative to the elements, uncorrected comes out at -0.266 eV/atom.


DFT (GGA-PBE) results for a relaxed structure of HfSb2Pd2.

POSCAR file:
```
HfSb2Pd2
1.0
-2.2994 -4.8149 5.7979
3.7159 -5.9981 -3.5074
2.6972 0.7037 1.6541
Sb Hf Pd
4 2 4
Direct
0.3412 0.8412 0.0000
0.8412 0.6588 0.0000
0.6588 0.1588 0.0000
0.1588 0.3412 0.0000
0.0000 0.0000 0.0000
0.5000 0.5000 0.0000
0.1391 0.6391 0.5000
0.6391 0.8609 0.5000
0.8609 0.3609 0.5000
0.3609 0.1391 0.5000
```

Properties
For the energy above the lowest structure with this stoichiometry, the calculation gives 47 meV per atom. The calculation puts the total energy at -6.027 eV/atom. The energy relative to the elements, uncorrected comes out at -0.310 eV/atom.


DFT (GGA-PBE) results for a relaxed structure of Hf2Sb3Pd.

POSCAR file:
```
Hf2Sb3Pd
1.0
-1.6055 2.8633 -2.1970
-0.1564 -2.4575 -3.0886
-7.8521 -2.5444 2.4222
Hf Sb Pd
2 3 1
Direct
0.5000 0.0000 0.7380
0.0000 0.5000 0.2620
0.5000 0.0000 0.3805
0.0000 0.5000 0.6195
0.0000 0.0000 0.0000
0.5000 0.5000 0.0000
```

Properties
The calculation puts the total energy at -6.742 eV/atom. The energy relative to the elements, uncorrected comes out at -0.497 eV/atom.


DFT (GGA-PBE) results for a relaxed structure of Hf12Sb6Pd.

POSCAR file:
```
Hf12Sb6Pd
1.0
7.7618 0.1171 0.1403
-1.0610 7.6898 0.1403
-1.0610 -1.2361 7.5911
Hf Sb Pd
12 6 1
Direct
0.7927 0.5744 0.4720
0.4720 0.7927 0.5744
0.5744 0.4720 0.7927
0.2073 0.4256 0.5280
0.5280 0.2073 0.4256
0.4256 0.5280 0.2073
0.1021 0.0550 0.3508
0.9450 0.6492 0.8979
0.6492 0.8979 0.9450
0.8979 0.9450 0.6492
0.0550 0.3508 0.1021
0.3508 0.1021 0.0550
0.6834 0.8842 0.3083
0.6917 0.3166 0.1158
0.1158 0.6917 0.3166
0.3166 0.1158 0.6917
0.3083 0.6834 0.8842
0.8842 0.3083 0.6834
0.0000 0.0000 0.0000
```

Properties
The calculation puts the total energy at -7.947 eV/atom. The energy relative to the elements, uncorrected comes out at -0.085 eV/atom.


DFT (GGA-PBE) results for a relaxed structure of HfSb2Pd.

POSCAR file:
```
HfSb2Pd
1.0
0.6638 -4.8930 0.0805
-3.4376 -2.9899 -1.9058
0.9016 -2.4390 -4.1985
Sb Hf Pd
2 1 1
Direct
0.2500 0.2500 0.2500
0.7500 0.7500 0.7500
0.5000 0.5000 0.5000
0.0000 0.0000 0.0000
```

Properties
The calculation puts the total energy at -6.043 eV/atom. The energy relative to the elements, uncorrected comes out at -0.196 eV/atom.


Number 1: ρ 12.27 g cm⁻³, magnetization 0.000 μB/atom. Number 2: ρ 10.68 g cm⁻³, magnetization 0.000 μB/atom. Number 3: ρ 11.69 g cm⁻³, magnetization 0.000 μB/atom. Number 4: ρ 11.21 g cm⁻³, magnetization 0.000 μB/atom. Number 5: ρ 10.48 g cm⁻³, magnetization 0.000 μB/atom. Number 6: ρ 10.25 g cm⁻³, magnetization 0.000 μB/atom. Number 7: ρ 10.83 g cm⁻³, magnetization 0.000 μB/atom. Number 8: ρ 10.30 g cm⁻³, magnetization 0.000 μB/atom.